(1)
LaZn2Cr | PBE | relaxed

abc: 3.335 3.335 7.288
angles: 90.00 90.00 90.00
Sites, in units of the cell vectors:
La  0.000  0.000  0.000
Zn  0.000  0.000  0.514
Zn  0.500  0.500  0.315
Cr  0.500  0.500  0.693

Results
* energy of formation from the pure elements: 178 meV per atom
* total DFT energy (no corrections): -16.39 eV per cell

=====

(2)
LaZn2Cr | PBE | relaxed

abc: 4.929 4.929 4.929
angles: 60.00 60.00 60.00
Sites, in units of the cell vectors:
La  0.000  0.000  0.000
Zn  0.250  0.250  0.250
Zn  0.750  0.750  0.750
Cr  0.500  0.500  0.500

Results
* energy of formation from the pure elements: 25 meV per atom
* total DFT energy (no corrections): -17.00 eV per cell

=====

(3)
La4ZnCr | PBE | relaxed

abc: 6.449 6.449 6.449
angles: 60.00 60.00 60.00
Sites, in units of the cell vectors:
La  0.125  0.125  0.125
La  0.125  0.125  0.625
La  0.125  0.625  0.125
La  0.625  0.125  0.125
Zn  0.750  0.750  0.750
Cr  0.500  0.500  0.500

Results
* energy of formation from the pure elements: 642 meV per atom
* total DFT energy (no corrections): -26.75 eV per cell

=====

(4)
LaZn2Cr | PBE | relaxed

abc: 4.474 4.474 5.713
angles: 112.98 112.98 59.94
Sites, in units of the cell vectors:
La  0.000  0.000  0.000
Zn  0.205  0.205  0.615
Zn  0.795  0.795  0.385
Cr  0.500  0.500  0.500

Results
* energy of formation from the pure elements: 21 meV per atom
* total DFT energy (no corrections): -17.01 eV per cell